DFT (GGA-PBEsol) results for an optimized crystal structure of ScMnBe2.

a b c (Å): 2.752 2.752 6.485
angles (deg): 90.00 90.00 90.00
Fractional positions:
Sc: 0.000 0.000 0.000
Mn: 0.500 0.500 0.700
Be: 0.000 0.000 0.489
Be: 0.500 0.500 0.320

Summary:
total magnetization	2.19	μB/cell
polymorph energy (0 for the lowest one)	98	meV/atom
energy of formation from the pure elements	134	meV/atom

***

DFT (GGA-PBEsol) results for an optimized crystal structure of ScMnBe4.

a b c (Å): 4.456 4.456 4.456
angles (deg): 60.00 60.00 60.00
Fractional positions:
Sc: 0.000 0.000 0.000
Mn: 0.750 0.750 0.750
Be: 0.377 0.377 0.377
Be: 0.377 0.377 0.869
Be: 0.377 0.869 0.377
Be: 0.869 0.377 0.377

Summary:
total magnetization	2.00	μB/cell
energy of formation from the pure elements	-141	meV/atom

***

DFT (GGA-PBEsol) results for an optimized crystal structure of ScMnBe2.

a b c (Å): 5.813 5.813 5.813
angles (deg): 90.00 90.00 90.00
Fractional positions:
Sc: 0.000 0.000 0.000
Sc: 0.000 0.500 0.500
Sc: 0.500 0.000 0.500
Sc: 0.500 0.500 0.000
Mn: 0.000 0.000 0.500
Mn: 0.000 0.500 0.000
Mn: 0.500 0.000 0.000
Mn: 0.500 0.500 0.500
Be: 0.250 0.250 0.250
Be: 0.250 0.250 0.750
Be: 0.250 0.750 0.250
Be: 0.250 0.750 0.750
Be: 0.750 0.250 0.250
Be: 0.750 0.250 0.750
Be: 0.750 0.750 0.250
Be: 0.750 0.750 0.750

Summary:
total magnetization	10.96	μB/cell
polymorph energy (0 for the lowest one)	0	meV/atom
energy of formation from the pure elements	36	meV/atom

***

DFT (GGA-PBEsol) results for an optimized crystal structure of MnBe2Se.

a b c (Å): 2.786 3.331 5.294
angles (deg): 90.00 96.93 90.00
Fractional positions:
Mn: 0.000 0.000 0.000
Be: 0.471 0.500 0.805
Be: 0.529 0.500 0.195
Se: 0.500 0.000 0.500

Summary:
total magnetization	2.32	μB/cell
raw formation energy	0.88	eV per formula unit

***

DFT (GGA-PBEsol) results for an optimized crystal structure of Mn4BeSe.

a b c (Å): 4.619 4.619 4.619
angles (deg): 60.00 60.00 60.00
Fractional positions:
Mn: 0.125 0.125 0.125
Mn: 0.125 0.125 0.625
Mn: 0.125 0.625 0.125
Mn: 0.625 0.125 0.125
Be: 0.500 0.500 0.500
Se: 0.750 0.750 0.750

Summary:
total magnetization	0.00	μB/cell
raw formation energy	3.03	eV per formula unit

***

DFT (GGA-PBEsol) results for an optimized crystal structure of MnBe2Se.

a b c (Å): 3.402 3.402 7.633
angles (deg): 90.00 90.00 90.00
Fractional positions:
Mn: 0.000 0.000 0.000
Mn: 0.500 0.500 0.500
Be: 0.000 0.500 0.250
Be: 0.000 0.500 0.750
Be: 0.500 0.000 0.250
Be: 0.500 0.000 0.750
Se: 0.000 0.000 0.500
Se: 0.500 0.500 0.000

Summary:
total magnetization	3.90	μB/cell
raw formation energy	0.93	eV per formula unit

***

Question: total magnetization of number 2 (ScMnBe4)?
Answer: 2.00 μB/cell

***

Question: What is the total magnetization in the fourth record?
Answer: 2.32 μB/cell

***

Question: Among the records above, which one has the lowest total magnetization?
Answer: Mn4BeSe